8
Lattice="6.219 0.000 0.000 0.000 8.448 0.000 0.000 0.000 3.152" Properties=species:S:1:pos:R:3 comment="Mg2AlIn | the Alexandria database | SCAN | PBEsol geometry" e_form_ev_per_atom=-0.0682 energy_ev_per_atom=-12.840 n_ef_per_ev_fu=1.63 pbc="T T T"
Mg 1.555 2.112 0.000
Mg 1.555 6.336 0.000
Mg 4.664 2.112 0.000
Mg 4.664 6.336 0.000
Al 0.000 0.000 1.576
Al 3.109 4.224 1.576
In 0.000 4.224 1.576
In 3.109 0.000 1.576

6
Lattice="0.000 5.504 5.504 5.504 0.000 5.504 5.504 5.504 0.000" Properties=species:S:1:pos:R:3 comment="KSr4Ca | the Alexandria database | SCAN | PBEsol geometry" e_form_ev_per_atom=0.1953 energy_ev_per_atom=-17.654 n_ef_per_ev_fu=5.23 pbc="T T T"
K 0.000 0.000 0.000
Sr 4.135 4.135 4.135
Sr 6.873 6.873 4.135
Sr 6.873 4.135 6.873
Sr 4.135 6.873 6.873
Ca 8.256 8.256 8.256

20
Lattice="4.037 0.000 0.000 0.000 9.468 0.000 -3.928 0.000 11.508" Properties=species:S:1:pos:R:3 comment="As2S3 | the Alexandria database | SCAN | PBEsol geometry" energy_ev_per_atom=-14.017 e_form_raw_kcal_per_mol_atoms=-3.78 n_ef_per_ev_fu=0.00 pbc="T T T"
As -0.503 1.811 2.742
As -2.467 2.923 8.496
As -0.477 1.663 5.907
As 1.487 3.071 0.153
As -1.378 6.397 11.355
As 0.586 7.805 5.601
As 2.575 6.545 3.012
As 0.611 7.657 8.766
S -2.112 6.674 7.124
S -0.148 7.528 1.370
S -1.958 0.908 7.533
S 0.006 3.826 1.779
S 0.059 5.856 4.587
S -1.905 8.346 10.341
S 2.014 1.122 1.167
S 0.050 3.612 6.921
S 0.103 5.642 9.729
S 2.067 8.560 3.975
S 0.257 1.940 10.138
S 2.221 2.794 4.384

8
Lattice="5.208 0.000 0.000 0.000 7.305 0.000 0.000 0.000 2.701" Properties=species:S:1:pos:R:3 comment="CrFe2Au | the Alexandria database | SCAN | PBEsol geometry" e_form_ev_per_atom=0.0966 energy_ev_per_atom=-30.854 n_ef_per_ev_fu=2.46 pbc="T T T"
Cr 0.000 0.000 0.000
Cr 2.604 3.652 0.000
Fe 1.302 1.826 1.351
Fe 1.302 5.479 1.351
Fe 3.906 1.826 1.351
Fe 3.906 5.479 1.351
Au 0.000 3.652 0.000
Au 2.604 0.000 0.000

8
Lattice="9.240 0.000 0.000 0.000 2.815 0.000 -0.698 0.000 4.848" Properties=species:S:1:pos:R:3 comment="LiHgPt2 | the Alexandria database | SCAN | PBEsol geometry" e_form_ev_per_atom=-0.2454 energy_ev_per_atom=-52.981 n_ef_per_ev_fu=2.10 pbc="T T T"
Li 0.000 0.000 0.000
Li 4.620 1.408 0.000
Hg 1.689 0.000 3.601
Hg 6.309 1.408 3.601
Pt 2.153 1.408 1.159
Pt 4.205 0.000 2.276
Pt 6.773 0.000 1.159
Pt 8.825 1.408 2.276

12
Lattice="9.136 0.000 0.000 -4.568 7.912 0.000 0.000 0.000 4.045" Properties=species:S:1:pos:R:3 comment="Ba2Eu3Si7 | the Alexandria database | SCAN | PBEsol geometry" energy_ev_per_atom=-26.389 e_form_raw_kcal_per_mol_atoms=-12.15 n_ef_per_ev_fu=16.48 pbc="T T T"
Ba 0.000 5.275 0.000
Ba 4.568 2.637 0.000
Eu -1.155 2.001 2.022
Eu 2.311 0.000 2.022
Eu 3.413 5.911 2.022
Si 0.000 0.000 0.000
Si -2.728 4.725 2.022
Si -3.386 5.864 0.000
Si 1.182 2.048 0.000
Si 1.840 3.187 2.022
Si 5.456 0.000 2.022
Si 6.771 0.000 0.000

5
Lattice="4.648 0.000 0.000 0.000 4.648 0.000 0.000 0.000 4.648" Properties=species:S:1:pos:R:3 comment="SrBe3Tl | the Alexandria database | SCAN | PBEsol geometry" e_form_ev_per_atom=0.7098 energy_ev_per_atom=-20.829 n_ef_per_ev_fu=1.74 pbc="T T T"
Sr 0.000 0.000 0.000
Be 0.000 2.324 2.324
Be 2.324 0.000 2.324
Be 2.324 2.324 0.000
Tl 2.324 2.324 2.324

5
Lattice="5.887 0.000 0.000 0.000 5.887 0.000 0.000 0.000 5.573" Properties=species:S:1:pos:R:3 comment="KTlSbTe2 | the Alexandria database | SCAN | PBEsol geometry" energy_ev_per_atom=-38.370 e_form_raw_kcal_per_mol_atoms=2.76 n_ef_per_ev_fu=5.00 pbc="T T T"
K 0.000 0.000 0.000
Tl 2.944 2.944 2.787
Sb 2.944 2.944 0.000
Te 0.000 2.944 2.787
Te 2.944 0.000 2.787

16
Lattice="7.007 0.000 0.000 0.000 7.007 0.000 0.000 0.000 7.007" Properties=species:S:1:pos:R:3 comment="BaAs2Ir | the Alexandria database | SCAN | PBEsol geometry" e_form_ev_per_atom=0.4892 energy_ev_per_atom=-37.268 n_ef_per_ev_fu=3.10 pbc="T T T"
Ba 0.000 0.000 0.000
Ba 0.000 3.504 3.504
Ba 3.504 0.000 3.504
Ba 3.504 3.504 0.000
As 0.000 0.000 3.504
As 0.000 3.504 0.000
As 1.752 1.752 5.255
As 1.752 5.255 1.752
As 3.504 0.000 0.000
As 3.504 3.504 3.504
As 5.255 1.752 1.752
As 5.255 5.255 5.255
Ir 1.752 1.752 1.752
Ir 1.752 5.255 5.255
Ir 5.255 1.752 5.255
Ir 5.255 5.255 1.752

5
Lattice="4.840 0.000 0.000 0.000 4.840 0.000 0.000 0.000 4.227" Properties=species:S:1:pos:R:3 comment="Co2IrSBr | the Alexandria database | SCAN | PBEsol geometry" energy_ev_per_atom=-26.415 e_form_raw_kcal_per_mol_atoms=12.54 n_ef_per_ev_fu=2.99 pbc="T T T"
Co 0.000 2.420 0.000
Co 2.420 0.000 0.000
Ir 0.000 0.000 0.000
S 0.000 0.000 2.114
Br 2.420 2.420 2.114

10
Lattice="3.840 0.000 0.000 0.000 3.840 0.000 0.000 0.000 12.854" Properties=species:S:1:pos:R:3 comment="ZrIn2Ru2 | the Alexandria database | SCAN | PBEsol geometry" e_form_ev_per_atom=0.1295 energy_ev_per_atom=-33.295 n_ef_per_ev_fu=4.17 pbc="T T T"
Zr 0.000 0.000 0.000
Zr 1.920 1.920 6.427
In 0.000 1.920 3.213
In 0.000 1.920 9.640
In 1.920 0.000 3.213
In 1.920 0.000 9.640
Ru 0.000 0.000 5.206
Ru 0.000 0.000 7.647
Ru 1.920 1.920 1.220
Ru 1.920 1.920 11.633

10
Lattice="6.101 0.000 0.000 0.000 6.101 0.000 0.000 0.000 4.137" Properties=species:S:1:pos:R:3 comment="Li2SiPt2 | the Alexandria database | SCAN | PBEsol geometry" energy_ev_per_atom=-31.743 e_form_raw_kcal_per_mol_atoms=-16.31 n_ef_per_ev_fu=2.49 pbc="T T T"
Li 0.966 2.085 0.000
Li 2.085 5.136 0.000
Li 4.016 0.966 0.000
Li 5.136 4.016 0.000
Si 0.000 0.000 2.068
Si 3.051 3.051 2.068
Pt 0.925 3.975 2.068
Pt 2.126 0.925 2.068
Pt 3.975 5.177 2.068
Pt 5.177 2.126 2.068